1.
! PBE Cs6KRb6, relaxed; values from VASP
! **Crystal system**: hexagonal
! **Raw total energy**: -11.63 eV per cell
&SYSTEM
  ibrav = 0, nat = 13, ntyp = 3
/
ATOMIC_SPECIES
Cs 132.91 Cs.upf
K 39.10 K.upf
Rb 85.47 Rb.upf
CELL_PARAMETERS angstrom
-0.889 -7.532 5.778
8.317 1.733 -4.328
4.985 9.756 13.485
ATOMIC_POSITIONS crystal
Cs 0.000 0.000 0.351
Cs 0.000 0.000 0.649
Cs 0.667 0.333 0.000
Cs 0.333 0.667 0.000
Cs 0.667 0.333 0.500
Cs 0.333 0.667 0.500
K 0.000 0.000 0.000
Rb 0.000 0.500 0.241
Rb 0.500 0.500 0.241
Rb 0.500 0.000 0.241
Rb 0.500 0.500 0.759
Rb 0.000 0.500 0.759
Rb 0.500 0.000 0.759

***

2.
! PBE Cs3K8Rb, relaxed; values from VASP
! **Crystal system**: trigonal
! **Raw total energy**: -12.32 eV per cell
&SYSTEM
  ibrav = 0, nat = 12, ntyp = 3
/
ATOMIC_SPECIES
Cs 132.91 Cs.upf
K 39.10 K.upf
Rb 85.47 Rb.upf
CELL_PARAMETERS angstrom
8.960 0.000 0.000
-4.480 7.760 0.000
0.000 0.000 14.654
ATOMIC_POSITIONS crystal
Cs 0.667 0.333 0.440
Cs 0.667 0.333 0.064
Cs 0.000 0.000 0.933
K 0.333 0.667 0.501
K 0.333 0.667 0.001
K 0.503 0.005 0.748
K 0.503 0.497 0.748
K 0.995 0.497 0.748
K 0.164 0.327 0.252
K 0.164 0.836 0.252
K 0.673 0.836 0.252
Rb 0.000 0.000 0.563

***

3.
! PBE Cs2K3Rb3, relaxed; values from VASP
! **Crystal system**: hexagonal
! **Offset from the most stable computed form**: 22 meV/atom
&SYSTEM
  ibrav = 0, nat = 8, ntyp = 3
/
ATOMIC_SPECIES
Cs 132.91 Cs.upf
K 39.10 K.upf
Rb 85.47 Rb.upf
CELL_PARAMETERS angstrom
4.992 0.000 0.000
0.000 11.262 -6.502
0.000 0.000 13.004
ATOMIC_POSITIONS crystal
Cs 0.000 0.667 0.333
Cs 0.000 0.333 0.667
K 0.500 0.627 0.627
K 0.500 0.000 0.373
K 0.500 0.373 0.000
Rb 0.000 0.235 0.235
Rb 0.000 0.000 0.765
Rb 0.000 0.765 0.000

***

4.
! PBE Cs2K4Rb, relaxed; values from VASP
! **Crystal system**: monoclinic
! **Offset from the most stable computed form**: 0 meV/atom
&SYSTEM
  ibrav = 0, nat = 7, ntyp = 3
/
ATOMIC_SPECIES
Cs 132.91 Cs.upf
K 39.10 K.upf
Rb 85.47 Rb.upf
CELL_PARAMETERS angstrom
-3.935 0.125 -2.824
5.235 -7.338 -7.620
-7.081 -4.091 9.686
ATOMIC_POSITIONS crystal
Cs 0.500 0.820 0.573
Cs 0.500 0.322 0.427
K 0.500 0.664 0.878
K 0.000 0.259 0.739
K 0.500 0.479 0.122
K 0.000 0.884 0.261
Rb 0.000 0.071 0.000

***

5.
! PBE Cs7KRb5, relaxed; values from VASP
! **Crystal system**: monoclinic
! **Raw total energy**: -11.59 eV per cell
&SYSTEM
  ibrav = 0, nat = 13, ntyp = 3
/
ATOMIC_SPECIES
Cs 132.91 Cs.upf
K 39.10 K.upf
Rb 85.47 Rb.upf
CELL_PARAMETERS angstrom
7.877 -0.008 2.534
3.470 12.876 2.574
-0.064 1.295 13.520
ATOMIC_POSITIONS crystal
Cs 0.707 0.372 0.372
Cs 0.462 0.618 0.618
Cs 0.084 0.349 0.645
Cs 0.084 0.645 0.349
Cs 0.361 0.215 0.215
Cs 0.587 0.818 0.166
Cs 0.587 0.166 0.818
K 0.059 0.020 0.020
Rb 0.265 0.985 0.634
Rb 0.870 0.994 0.411
Rb 0.265 0.634 0.985
Rb 0.870 0.411 0.994
Rb 0.801 0.774 0.774

***

6.
! PBE Cs8KRb3, relaxed; values from VASP
! **Crystal system**: trigonal
! **Raw total energy**: -10.76 eV per cell
&SYSTEM
  ibrav = 0, nat = 12, ntyp = 3
/
ATOMIC_SPECIES
Cs 132.91 Cs.upf
K 39.10 K.upf
Rb 85.47 Rb.upf
CELL_PARAMETERS angstrom
-6.077 6.338 2.785
-1.512 -4.737 -7.754
-8.435 -12.044 9.003
ATOMIC_POSITIONS crystal
Cs 0.327 0.327 0.754
Cs 0.673 0.000 0.754
Cs 0.000 0.673 0.754
Cs 0.673 0.673 0.246
Cs 0.327 0.000 0.246
Cs 0.000 0.327 0.246
Cs 0.333 0.667 0.500
Cs 0.667 0.333 0.500
K 0.000 0.000 0.500
Rb 0.333 0.667 0.000
Rb 0.667 0.333 0.000
Rb 0.000 0.000 0.000

***

7.
! PBE Cs3K4Rb9, relaxed; values from VASP
! **Crystal system**: trigonal
! **Raw total energy**: -14.18 eV per cell
&SYSTEM
  ibrav = 0, nat = 16, ntyp = 3
/
ATOMIC_SPECIES
Cs 132.91 Cs.upf
K 39.10 K.upf
Rb 85.47 Rb.upf
CELL_PARAMETERS angstrom
-5.947 -6.633 -6.680
4.932 -5.163 -8.544
2.877 -16.073 4.118
ATOMIC_POSITIONS crystal
Cs 0.986 0.986 0.041
Cs 0.850 0.850 0.449
Cs 0.417 0.417 0.750
K 0.594 0.594 0.217
K 0.143 0.143 0.570
K 0.239 0.239 0.282
K 0.690 0.690 0.929
Rb 0.041 0.422 0.043
Rb 0.494 0.041 0.043
Rb 0.422 0.494 0.043
Rb 0.793 0.345 0.457
Rb 0.406 0.793 0.457
Rb 0.345 0.406 0.457
Rb 0.902 0.420 0.747
Rb 0.420 0.931 0.747
Rb 0.931 0.902 0.747

***

8.
! PBE Cs3K7Rb2, relaxed; values from VASP
! **Crystal system**: monoclinic
! **Offset from the most stable computed form**: 12 meV/atom
&SYSTEM
  ibrav = 0, nat = 12, ntyp = 3
/
ATOMIC_SPECIES
Cs 132.91 Cs.upf
K 39.10 K.upf
Rb 85.47 Rb.upf
CELL_PARAMETERS angstrom
5.200 0.000 0.000
0.000 7.783 0.030
0.000 -3.729 25.755
ATOMIC_POSITIONS crystal
Cs 0.500 0.500 0.000
Cs 0.000 0.179 0.365
Cs 0.000 0.821 0.635
K 0.500 0.731 0.462
K 0.500 0.269 0.538
K 0.000 0.604 0.147
K 0.000 0.000 0.000
K 0.000 0.396 0.853
K 0.500 0.897 0.838
K 0.500 0.103 0.162
Rb 0.500 0.642 0.288
Rb 0.500 0.358 0.712

***

9.
! PBE CsK10Rb6, relaxed; values from VASP
! **Crystal system**: trigonal
! **Raw total energy**: -17.18 eV per cell
&SYSTEM
  ibrav = 0, nat = 17, ntyp = 3
/
ATOMIC_SPECIES
Cs 132.91 Cs.upf
K 39.10 K.upf
Rb 85.47 Rb.upf
CELL_PARAMETERS angstrom
-8.884 0.326 -9.682
0.231 -10.133 8.369
-6.024 4.554 5.681
ATOMIC_POSITIONS crystal
Cs 0.000 0.000 0.500
K 0.693 0.693 0.848
K 0.000 0.307 0.848
K 0.307 0.000 0.848
K 0.307 0.307 0.152
K 0.000 0.693 0.152
K 0.693 0.000 0.152
K 0.333 0.667 0.500
K 0.667 0.333 0.500
K 0.667 0.333 0.000
K 0.333 0.667 0.000
Rb 0.357 0.357 0.669
Rb 0.000 0.643 0.669
Rb 0.643 0.000 0.669
Rb 0.643 0.643 0.331
Rb 0.000 0.357 0.331
Rb 0.357 0.000 0.331

***

10.
! PBE Cs6K7Rb, relaxed; values from VASP
! **Crystal system**: orthorhombic
! **Raw total energy**: -26.94 eV per cell
&SYSTEM
  ibrav = 0, nat = 28, ntyp = 3
/
ATOMIC_SPECIES
Cs 132.91 Cs.upf
K 39.10 K.upf
Rb 85.47 Rb.upf
CELL_PARAMETERS angstrom
-3.512 -7.736 3.091
15.489 -8.942 8.441
-15.860 5.987 10.185
ATOMIC_POSITIONS crystal
Cs 0.575 0.303 0.039
Cs 0.083 0.039 0.303
Cs 0.925 0.461 0.197
Cs 0.417 0.197 0.461
Cs 0.425 0.697 0.961
Cs 0.917 0.961 0.697
Cs 0.075 0.539 0.803
Cs 0.583 0.803 0.539
Cs 0.244 0.613 0.387
Cs 0.756 0.387 0.613
Cs 0.256 0.113 0.887
Cs 0.744 0.887 0.113
K 0.745 0.020 0.980
K 0.255 0.980 0.020
K 0.755 0.520 0.480
K 0.245 0.480 0.520
K 0.518 0.610 0.132
K 0.740 0.132 0.610
K 0.982 0.368 0.890
K 0.760 0.890 0.368
K 0.482 0.390 0.868
K 0.260 0.868 0.390
K 0.018 0.632 0.110
K 0.240 0.110 0.632
K 0.250 0.250 0.250
K 0.750 0.750 0.750
Rb 0.750 0.250 0.250
Rb 0.250 0.750 0.750

***

11.
! PBE Cs4K2Rb, relaxed; values from VASP
! **Crystal system**: monoclinic
! **Offset from the most stable computed form**: 0 meV/atom
&SYSTEM
  ibrav = 0, nat = 7, ntyp = 3
/
ATOMIC_SPECIES
Cs 132.91 Cs.upf
K 39.10 K.upf
Rb 85.47 Rb.upf
CELL_PARAMETERS angstrom
5.013 0.000 0.000
0.000 12.641 0.275
-2.506 -5.761 10.909
ATOMIC_POSITIONS crystal
Cs 0.917 0.285 0.833
Cs 0.083 0.715 0.167
Cs 0.642 0.398 0.284
Cs 0.358 0.602 0.716
K 0.781 0.864 0.562
K 0.219 0.136 0.438
Rb 0.000 0.000 0.000

***

12.
! PBE Cs8K2Rb3, relaxed; values from VASP
! **Crystal system**: monoclinic
! **Offset from the most stable computed form**: 0 meV/atom
&SYSTEM
  ibrav = 0, nat = 13, ntyp = 3
/
ATOMIC_SPECIES
Cs 132.91 Cs.upf
K 39.10 K.upf
Rb 85.47 Rb.upf
CELL_PARAMETERS angstrom
8.425 0.000 1.132
0.000 11.736 0.000
-1.866 -5.868 13.958
ATOMIC_POSITIONS crystal
Cs 0.998 0.685 0.369
Cs 0.002 0.315 0.631
Cs 0.998 0.129 0.258
Cs 0.002 0.871 0.742
Cs 0.502 0.597 0.778
Cs 0.502 0.182 0.778
Cs 0.498 0.818 0.222
Cs 0.498 0.403 0.222
K 0.500 0.232 0.464
K 0.500 0.768 0.536
Rb 0.500 0.000 0.000
Rb 0.000 0.300 0.000
Rb 0.000 0.700 0.000